Sm5Y2Tm | PBE | relaxed

Computed properties:
Magnetic moment: 0.000 μB/atom
Energy of formation from the pure elements: 0.387 kcal/mol of atoms
D(E_F): 1.41 states/eV per atom
Space group: P-1, No. 2

Structure (CIF):
```
data_Sm5Y2Tm
_symmetry_space_group_name_H-M 'P 1'
_symmetry_Int_Tables_number 1
_symmetry_space_group_name_Hall 'P 1'
_cell_length_a 6.229
_cell_length_b 9.510
_cell_length_c 9.510
_cell_angle_alpha 81.83
_cell_angle_beta 83.82
_cell_angle_gamma 71.06
loop_
_atom_site_label
_atom_site_type_symbol
_atom_site_fract_x
_atom_site_fract_y
_atom_site_fract_z
Sm1 Sm 0.248 0.407 0.282
Sm2 Sm 0.249 0.157 0.030
Sm3 Sm 0.250 0.781 0.158
Sm4 Sm 0.251 0.031 0.407
Sm5 Sm 0.251 0.530 0.905
Sm6 Sm 0.749 0.470 0.095
Sm7 Sm 0.749 0.969 0.593
Sm8 Sm 0.750 0.219 0.842
Sm9 Sm 0.751 0.843 0.970
Sm10 Sm 0.752 0.593 0.718
Y1 Y 0.250 0.907 0.780
Y2 Y 0.251 0.656 0.530
Y3 Y 0.749 0.344 0.470
Y4 Y 0.750 0.093 0.220
Tm1 Tm 0.251 0.281 0.655
Tm2 Tm 0.749 0.719 0.345
```



Sm3Y5Tm | PBE | relaxed

Computed properties:
Magnetic moment: 0.000 μB/atom
Energy of formation from the pure elements: 1.024 kcal/mol of atoms
D(E_F): 1.39 states/eV per atom
Space group: P6_3/mcm, No. 193

Structure (CIF):
```
data_Sm3Y5Tm
_symmetry_space_group_name_H-M 'P 1'
_symmetry_Int_Tables_number 1
_symmetry_space_group_name_Hall 'P 1'
_cell_length_a 9.787
_cell_length_b 9.787
_cell_length_c 7.066
_cell_angle_alpha 90.00
_cell_angle_beta 90.00
_cell_angle_gamma 120.00
loop_
_atom_site_label
_atom_site_type_symbol
_atom_site_fract_x
_atom_site_fract_y
_atom_site_fract_z
Sm1 Sm 0.000 0.361 0.250
Sm2 Sm 0.000 0.639 0.750
Sm3 Sm 0.361 0.000 0.250
Sm4 Sm 0.361 0.361 0.750
Sm5 Sm 0.639 0.000 0.750
Sm6 Sm 0.639 0.639 0.250
Y1 Y 0.000 0.303 0.750
Y2 Y 0.000 0.697 0.250
Y3 Y 0.303 0.000 0.750
Y4 Y 0.303 0.303 0.250
Y5 Y 0.333 0.667 0.000
Y6 Y 0.333 0.667 0.500
Y7 Y 0.667 0.333 0.000
Y8 Y 0.667 0.333 0.500
Y9 Y 0.697 0.000 0.250
Y10 Y 0.697 0.697 0.750
Tm1 Tm 0.000 0.000 0.000
Tm2 Tm 0.000 0.000 0.500
```



Sm4Y3Tm5 | PBE | relaxed

Computed properties:
Magnetic moment: 0.051 μB/atom
Energy of formation from the pure elements: 5.587 kcal/mol of atoms
D(E_F): 1.63 states/eV per atom
Space group: C2/m, No. 12

Structure (CIF):
```
data_Sm4Y3Tm5
_symmetry_space_group_name_H-M 'P 1'
_symmetry_Int_Tables_number 1
_symmetry_space_group_name_Hall 'P 1'
_cell_length_a 8.531
_cell_length_b 8.531
_cell_length_c 9.355
_cell_angle_alpha 115.13
_cell_angle_beta 115.13
_cell_angle_gamma 40.33
loop_
_atom_site_label
_atom_site_type_symbol
_atom_site_fract_x
_atom_site_fract_y
_atom_site_fract_z
Sm1 Sm 0.085 0.085 0.448
Sm2 Sm 0.215 0.215 0.882
Sm3 Sm 0.785 0.785 0.118
Sm4 Sm 0.915 0.915 0.552
Y1 Y 0.213 0.213 0.238
Y2 Y 0.500 0.500 0.000
Y3 Y 0.787 0.787 0.762
Tm1 Tm 0.000 0.000 0.000
Tm2 Tm 0.329 0.329 0.617
Tm3 Tm 0.430 0.430 0.299
Tm4 Tm 0.570 0.570 0.701
Tm5 Tm 0.671 0.671 0.383
```



| no. | mass density (g/cm3) |
| --- | --- |
| 1 | 6.9 |
| 2 | 6.0 |
| 3 | 7.2 |